ZrWNO2, optimized geometry, DFT GGA+U; uncorrected energy = -7.75 eV per atom
1.0
3.986 0.000 0.000
0.000 3.986 0.000
0.000 0.000 4.038
Zr W N O
1 1 1 2
Direct
0.000 0.000 0.000
0.500 0.500 0.500
0.500 0.500 0.000
0.000 0.500 0.500
0.500 0.000 0.500